1.
# Hf2CdBi2, optimized geometry, DFT PBE-GGA
data_Hf2CdBi2
_chemical_formula_sum 'Hf4 Cd2 Bi4'
_cell_length_a 4.794
_cell_length_b 4.794
_cell_length_c 12.869
_cell_angle_alpha 90.00
_cell_angle_beta 90.00
_cell_angle_gamma 90.00
_space_group_name_H-M_alt 'I 4/m m m'
_space_group_IT_number 139
_space_group_name_Hall '-I 4 2'
loop_
_atom_site_label
_atom_site_type_symbol
_atom_site_fract_x
_atom_site_fract_y
_atom_site_fract_z
Hf1 Hf 0.000 0.500 0.250
Cd1 Cd 0.000 0.000 0.000
Bi1 Bi 0.000 0.000 0.380
# calculated total energy	-55.41	eV for the cell shown
# crystal system	tetragonal

---

2.
# Cs2Be2Hg3, optimized geometry, DFT PBE-GGA
data_Cs2Be2Hg3
_chemical_formula_sum 'Cs6 Be6 Hg9'
_cell_length_a 4.5261
_cell_length_b 4.5261
_cell_length_c 38.2189
_cell_angle_alpha 90.00
_cell_angle_beta 90.00
_cell_angle_gamma 120.00
_space_group_name_H-M_alt 'R 3 m'
_space_group_IT_number 160
_space_group_name_Hall 'R 3 -2"'
loop_
_atom_site_label
_atom_site_type_symbol
_atom_site_fract_x
_atom_site_fract_y
_atom_site_fract_z
Cs1 Cs 0.0000 0.0000 0.0000
Cs2 Cs 0.0000 0.0000 0.4403
Be1 Be 0.0000 0.0000 0.1915
Be2 Be 0.0000 0.0000 0.6024
Hg1 Hg 0.0000 0.0000 0.2624
Hg2 Hg 0.0000 0.0000 0.5410
Hg3 Hg 0.0000 0.0000 0.8399
# calculated total energy	-23.57	eV for the cell shown
# crystal system	trigonal

---

3.
# ZnCdO3, optimized geometry, DFT PBE-GGA
data_ZnCdO3
_chemical_formula_sum 'Zn6 Cd6 O18'
_cell_length_a 5.3323
_cell_length_b 5.3323
_cell_length_c 14.5180
_cell_angle_alpha 90.00
_cell_angle_beta 90.00
_cell_angle_gamma 120.00
_space_group_name_H-M_alt 'R -3'
_space_group_IT_number 148
_space_group_name_Hall '-R 3'
loop_
_atom_site_label
_atom_site_type_symbol
_atom_site_fract_x
_atom_site_fract_y
_atom_site_fract_z
Zn1 Zn 0.0000 0.0000 0.1524
Cd1 Cd 0.0000 0.0000 0.3614
O1 O 0.0227 0.3874 0.4227
# calculated total energy	-119.71	eV for the cell shown
# crystal system	trigonal

---

4.
# Pr2ZnCdAs2O2, optimized geometry, DFT PBE-GGA
data_Pr2ZnCdAs2O2
_chemical_formula_sum 'Pr2 Zn1 Cd1 As2 O2'
_cell_length_a 4.147
_cell_length_b 4.147
_cell_length_c 9.095
_cell_angle_alpha 90.00
_cell_angle_beta 90.00
_cell_angle_gamma 90.00
_space_group_name_H-M_alt 'P -4 m 2'
_space_group_IT_number 115
_space_group_name_Hall 'P -4 -2'
loop_
_atom_site_label
_atom_site_type_symbol
_atom_site_fract_x
_atom_site_fract_y
_atom_site_fract_z
Pr1 Pr 0.000 0.500 0.128
Zn1 Zn 0.000 0.000 0.500
Cd1 Cd 0.500 0.500 0.500
As1 As 0.000 0.500 0.687
O1 O 0.000 0.000 0.000
O2 O 0.500 0.500 0.000
# calculated total energy	-44.73	eV for the cell shown
# crystal system	tetragonal

---

5.
# SmZnInTe3, optimized geometry, DFT PBE-GGA
data_SmZnInTe3
_chemical_formula_sum 'Sm4 Zn4 In4 Te12'
_cell_length_a 15.549
_cell_length_b 4.396
_cell_length_c 11.834
_cell_angle_alpha 90.00
_cell_angle_beta 90.00
_cell_angle_gamma 90.00
_space_group_name_H-M_alt 'P n m a'
_space_group_IT_number 62
_space_group_name_Hall '-P 2ac 2n'
loop_
_atom_site_label
_atom_site_type_symbol
_atom_site_fract_x
_atom_site_fract_y
_atom_site_fract_z
Sm1 Sm 0.026 0.250 0.160
Zn1 Zn 0.018 0.750 0.399
In1 In 0.241 0.250 0.467
Te1 Te 0.088 0.750 0.612
Te2 Te 0.106 0.250 0.920
Te3 Te 0.151 0.750 0.254
# calculated total energy	-91.04	eV for the cell shown
# crystal system	orthorhombic

---

6.
# SrCoCuTe, optimized geometry, DFT PBE-GGA
data_SrCoCuTe
_chemical_formula_sum 'Sr4 Co4 Cu4 Te4'
_cell_length_a 7.129
_cell_length_b 7.129
_cell_length_c 7.129
_cell_angle_alpha 90.00
_cell_angle_beta 90.00
_cell_angle_gamma 90.00
_space_group_name_H-M_alt 'F -4 3 m'
_space_group_IT_number 216
_space_group_name_Hall 'F -4 2 3'
loop_
_atom_site_label
_atom_site_type_symbol
_atom_site_fract_x
_atom_site_fract_y
_atom_site_fract_z
Sr1 Sr 0.000 0.000 0.000
Co1 Co 0.250 0.250 0.250
Cu1 Cu 0.000 0.000 0.500
Te1 Te 0.250 0.250 0.750
# calculated total energy	-57.22	eV for the cell shown
# crystal system	cubic

---

no.,calculated volume (Å³/cell)
1,296
2,678
3,357
4,156
5,809
6,362